# TlSi2Sb2 (SCAN, PBEsol geometry)
# - Space group: I4/mmm, No. 139
# - Total magnetization: 0.0 μB per cell
# - Formation energy (no corrections): 0.444 eV per atom
data_TlSi2Sb2
_chemical_formula_sum 'Tl1 Si2 Sb2'
_cell_length_a 4.219
_cell_length_b 4.219
_cell_length_c 7.704
_cell_angle_alpha 105.89
_cell_angle_beta 105.89
_cell_angle_gamma 90.00
_space_group_name_H-M_alt 'P 1'
_space_group_IT_number 1
loop_
_space_group_symop_operation_xyz
'x,y,z'
loop_
_atom_site_label
_atom_site_type_symbol
_atom_site_fract_x
_atom_site_fract_y
_atom_site_fract_z
Sb1 Sb 0.375 0.375 0.750
Sb2 Sb 0.625 0.625 0.250
Tl1 Tl 0.000 0.000 0.000
Si1 Si 0.250 0.750 0.500
Si2 Si 0.750 0.250 0.500